No. 1
TiIn3Mo | GGA-PBEsol | optimized geometry

a = 5.121 Å, b = 5.121 Å, c = 5.121 Å
α = 90.00°, β = 90.00°, γ = 90.00°
Fractional coordinates of all 5 atoms:
1 Ti 0.000 0.000 0.000
2 In 0.000 0.000 0.500
3 In 0.000 0.500 0.000
4 In 0.500 0.000 0.000
5 Mo 0.500 0.500 0.500

Results
Magnetization ... 2.93 μB/f.u.
D(E_F) ... 3.513 states/eV per cell
Energy of formation ... 1.31 eV per atom



No. 2
TlIn2Mo | GGA-PBEsol | optimized geometry

a = 5.297 Å, b = 3.094 Å, c = 5.345 Å
α = 90.00°, β = 111.44°, γ = 90.00°
Fractional coordinates of all 4 atoms:
1 Tl 0.000 0.000 0.000
2 In 0.000 0.500 0.500
3 In 0.500 0.000 0.500
4 Mo 0.500 0.500 0.000

Results
E above lowest polymorph ... 4.059 kcal/mol of atoms
Magnetization ... 0.00 μB/f.u.
D(E_F) ... 3.329 states/eV per cell
Energy of formation ... 0.52 eV per atom